# 1
First-principles (PBE) data for a relaxed RbV2FeRh crystal, as listed in the Alexandria database.

Geometry as POSCAR:
```
RbV2FeRh
1.0
4.479 0.000 0.000
0.000 4.479 0.000
0.000 0.000 4.616
Rb V Fe Rh
1 2 1 1
Direct
0.000 0.000 0.000 Rb
0.000 0.500 0.000 V
0.500 0.000 0.000 V
0.500 0.500 0.500 Fe
0.000 0.000 0.500 Rh
```

Results
Formation energy from the elements ... 2.9726 eV/atom
Energy ... -4.03 eV/atom

***

# 2
First-principles (PBE) data for a relaxed RbFeRu2 crystal, as listed in the Alexandria database.

Geometry as POSCAR:
```
RbFeRu2
1.0
-2.447 2.447 8.552
2.447 -2.447 8.552
2.447 2.447 -8.552
Rb Fe Ru
2 2 4
Direct
0.375 0.625 0.750 Rb
0.625 0.375 0.250 Rb
0.125 0.875 0.250 Fe
0.875 0.125 0.750 Fe
0.000 0.000 0.000 Ru
0.000 0.000 0.500 Ru
0.000 0.500 0.000 Ru
0.500 0.000 0.500 Ru
```

Results
Energy relative to the lowest polymorph listed for this composition ... 0 meV/atom
Formation energy from the elements ... 1.4177 eV/atom
Energy ... -5.58 eV/atom

***

# 3
First-principles (PBE) data for a relaxed RbFeRu2 crystal, as listed in the Alexandria database.

Geometry as POSCAR:
```
RbFeRu2
1.0
0.000 3.193 3.193
3.193 0.000 3.193
3.193 3.193 0.000
Rb Fe Ru
1 1 2
Direct
0.000 0.000 0.000 Rb
0.500 0.500 0.500 Fe
0.250 0.250 0.250 Ru
0.750 0.750 0.750 Ru
```

Results
Energy relative to the lowest polymorph listed for this composition ... 447 meV/atom
Formation energy from the elements ... 1.8644 eV/atom
Energy ... -5.13 eV/atom

***

# 4
First-principles (PBE) data for a relaxed RbFe2Ru2 crystal, as listed in the Alexandria database.

Geometry as POSCAR:
```
RbFe2Ru2
1.0
-2.095 2.095 5.312
2.095 -2.095 5.312
2.095 2.095 -5.312
Rb Fe Ru
1 2 2
Direct
0.000 0.000 0.000 Rb
0.250 0.750 0.500 Fe
0.750 0.250 0.500 Fe
0.376 0.376 0.000 Ru
0.624 0.624 0.000 Ru
```

Results
Energy relative to the lowest polymorph listed for this composition ... 0 meV/atom
Formation energy from the elements ... 0.9347 eV/atom
Energy ... -6.35 eV/atom

***

# 5
First-principles (PBE) data for a relaxed RbFe2Ru2 crystal, as listed in the Alexandria database.

Geometry as POSCAR:
```
RbFe2Ru2
1.0
7.820 0.000 0.000
0.000 7.820 0.000
0.000 0.000 2.657
Rb Fe Ru
2 4 4
Direct
0.000 0.000 0.000 Rb
0.500 0.500 0.000 Rb
0.154 0.346 0.500 Fe
0.346 0.846 0.500 Fe
0.654 0.154 0.500 Fe
0.846 0.654 0.500 Fe
0.117 0.617 0.000 Ru
0.383 0.117 0.000 Ru
0.617 0.883 0.000 Ru
0.883 0.383 0.000 Ru
```

Results
Energy relative to the lowest polymorph listed for this composition ... 11 meV/atom
Formation energy from the elements ... 0.9453 eV/atom
Energy ... -6.34 eV/atom

***

# 6
First-principles (PBE) data for a relaxed Rb2FeRu crystal, as listed in the Alexandria database.

Geometry as POSCAR:
```
Rb2FeRu
1.0
0.000 4.177 4.177
4.177 0.000 4.177
4.177 4.177 0.000
Rb Fe Ru
2 1 1
Direct
0.250 0.250 0.250 Rb
0.750 0.750 0.750 Rb
0.000 0.000 0.000 Fe
0.500 0.500 0.500 Ru
```

Results
Energy relative to the lowest polymorph listed for this composition ... 821 meV/atom
Formation energy from the elements ... 1.9649 eV/atom
Energy ... -2.95 eV/atom

***

# 7
First-principles (PBE) data for a relaxed Rb2FeRu crystal, as listed in the Alexandria database.

Geometry as POSCAR:
```
Rb2FeRu
1.0
-6.532 6.532 2.217
6.532 -6.532 2.217
6.532 6.532 -2.217
Rb Fe Ru
4 2 2
Direct
0.375 0.175 0.300 Rb
0.825 0.125 0.200 Rb
0.875 0.075 0.700 Rb
0.925 0.625 0.800 Rb
0.250 0.750 0.500 Fe
0.500 0.500 0.000 Fe
0.000 0.000 0.000 Ru
0.750 0.250 0.500 Ru
```

Results
Energy relative to the lowest polymorph listed for this composition ... 0 meV/atom
Formation energy from the elements ... 1.1435 eV/atom
Energy ... -3.77 eV/atom

***

# 8
First-principles (PBE) data for a relaxed RbFeRuS2 crystal, as listed in the Alexandria database.

Geometry as POSCAR:
```
RbFeRuS2
1.0
4.714 0.000 0.000
0.000 4.714 0.000
0.000 0.000 4.818
Rb Fe Ru S
1 1 1 2
Direct
0.000 0.000 0.000 Rb
0.500 0.500 0.500 Fe
0.500 0.500 0.000 Ru
0.000 0.500 0.500 S
0.500 0.000 0.500 S
```

Results
Energy ... -4.93 eV/atom
Formation energy without anion corrections ... 0.463 eV/atom

***

no.,Fermi-level density of states (states/eV/atom)
1,1.7138
2,1.1894
3,2.9837
4,1.3687
5,1.1798
6,3.0108
7,1.1071
8,1.0417